Model i:
# ErBeZn, optimized geometry, DFT PBE
data_ErBeZn
_chemical_formula_sum 'Er16 Be16 Zn16'
_space_group_name_H-M_alt 'F d d d'
_space_group_IT_number 70
_cell_length_a 4.282
_cell_length_b 12.420
_cell_length_c 17.258
_cell_angle_alpha 90.00
_cell_angle_beta 90.00
_cell_angle_gamma 90.00
loop_
_space_group_symop_operation_xyz
'x,y,z'
'-x,-y,-z'
'-x+1/4,-y+1/4,z'
'x+1/4,y+1/4,-z'
'x,-y+1/4,-z+1/4'
'-x,y+1/4,z+1/4'
'-x+1/4,y,-z+1/4'
'x+1/4,-y,z+1/4'
'x,y+1/2,z+1/2'
'-x,-y+1/2,-z+1/2'
'-x+1/4,-y+3/4,z+1/2'
'x+1/4,y+3/4,-z+1/2'
'x,-y+3/4,-z+3/4'
'-x,y+3/4,z+3/4'
'-x+1/4,y+1/2,-z+3/4'
'x+1/4,-y+1/2,z+3/4'
'x+1/2,y,z+1/2'
'-x+1/2,-y,-z+1/2'
'-x+3/4,-y+1/4,z+1/2'
'x+3/4,y+1/4,-z+1/2'
'x+1/2,-y+1/4,-z+3/4'
'-x+1/2,y+1/4,z+3/4'
'-x+3/4,y,-z+3/4'
'x+3/4,-y,z+3/4'
'x+1/2,y+1/2,z'
'-x+1/2,-y+1/2,-z'
'-x+3/4,-y+3/4,z'
'x+3/4,y+3/4,-z'
'x+1/2,-y+3/4,-z+1/4'
'-x+1/2,y+3/4,z+1/4'
'-x+3/4,y+1/2,-z+1/4'
'x+3/4,-y+1/2,z+1/4'
loop_
_atom_site_label
_atom_site_type_symbol
_atom_site_fract_x
_atom_site_fract_y
_atom_site_fract_z
_atom_site_occupancy
Er1 Er 0.125 0.255 0.125 1
Be1 Be 0.125 0.125 0.257 1
Zn1 Zn 0.125 0.125 0.531 1
# Size of the total moment (μB per formula unit): 0.00

Model ii:
# ErBeZn, optimized geometry, DFT PBE
data_ErBeZn
_chemical_formula_sum 'Er1 Be1 Zn1'
_space_group_name_H-M_alt 'P -6 m 2'
_space_group_IT_number 187
_space_group_name_Hall 'P -6 2'
_cell_length_a 4.2130
_cell_length_b 4.2130
_cell_length_c 3.4960
_cell_angle_alpha 90.00
_cell_angle_beta 90.00
_cell_angle_gamma 120.00
loop_
_atom_site_label
_atom_site_type_symbol
_atom_site_fract_x
_atom_site_fract_y
_atom_site_fract_z
_atom_site_occupancy
Er1 Er 0.0000 0.0000 0.0000 1
Be1 Be 0.6667 0.3333 0.5000 1
Zn1 Zn 0.3333 0.6667 0.5000 1
# Size of the total moment (μB per formula unit): 0.00

Sorted by energy, starting with the most stable: model ii, model i.

Model i:
# BeF3, optimized geometry, DFT PBE
data_BeF3
_chemical_formula_sum 'Be1 F3'
_space_group_name_H-M_alt 'P m m 2'
_space_group_IT_number 25
_cell_length_a 2.353
_cell_length_b 2.580
_cell_length_c 7.324
_cell_angle_alpha 90.00
_cell_angle_beta 90.00
_cell_angle_gamma 90.00
loop_
_space_group_symop_operation_xyz
'x,y,z'
'-x,-y,z'
'-x,y,z'
'x,-y,z'
loop_
_atom_site_label
_atom_site_type_symbol
_atom_site_fract_x
_atom_site_fract_y
_atom_site_fract_z
_atom_site_occupancy
Be1 Be 0.000 0.000 0.000 1
F1 F 0.000 0.500 0.501 1
F2 F 0.500 0.000 0.857 1
F3 F 0.500 0.500 0.117 1
# Size of the total moment (μB per formula unit): 0.99

Model ii:
# BeF3, optimized geometry, DFT PBE
data_BeF3
_chemical_formula_sum 'Be4 F12'
_space_group_name_H-M_alt 'F m -3 m'
_space_group_IT_number 225
_space_group_name_Hall '-F 4 2 3'
_cell_length_a 5.138
_cell_length_b 5.138
_cell_length_c 5.138
_cell_angle_alpha 90.00
_cell_angle_beta 90.00
_cell_angle_gamma 90.00
loop_
_atom_site_label
_atom_site_type_symbol
_atom_site_fract_x
_atom_site_fract_y
_atom_site_fract_z
_atom_site_occupancy
Be1 Be 0.000 0.000 0.000 1
F1 F 0.000 0.000 0.500 1
F2 F 0.250 0.250 0.250 1
# Size of the total moment (μB per formula unit): 1.00

Model iii:
# BeF3, optimized geometry, DFT PBE
data_BeF3
_chemical_formula_sum 'Be2 F6'
_space_group_name_H-M_alt 'I m m 2'
_space_group_IT_number 44
_cell_length_a 2.455
_cell_length_b 8.236
_cell_length_c 4.090
_cell_angle_alpha 90.00
_cell_angle_beta 90.00
_cell_angle_gamma 90.00
loop_
_space_group_symop_operation_xyz
'x,y,z'
'-x,-y,z'
'-x,y,z'
'x,-y,z'
'x+1/2,y+1/2,z+1/2'
'-x+1/2,-y+1/2,z+1/2'
'-x+1/2,y+1/2,z+1/2'
'x+1/2,-y+1/2,z+1/2'
loop_
_atom_site_label
_atom_site_type_symbol
_atom_site_fract_x
_atom_site_fract_y
_atom_site_fract_z
_atom_site_occupancy
Be1 Be 0.000 0.000 0.000 1
F1 F 0.000 0.363 0.603 1
F2 F 0.000 0.500 0.145 1
# Size of the total moment (μB per formula unit): 1.00

Sorted by energy, starting with the most stable: model iii, model i, model ii.